This record from the Alexandria database describes a relaxed structure of Mg2ZrZn. The functional is PBE.

abc: 5.957 5.957 5.957
angles: 149.26 131.12 58.86
Element x y z (fractional)
Mg 0.227 0.227 0.000
Mg 0.773 0.773 0.000
Zr 0.500 0.000 0.500
Zn 0.000 0.500 0.500

Calculated values
ΔH_f (0 K) = -0.06 eV per formula unit
SG = Immm
size of the total moment = 0.00 μB per atom
E_tot = -3.267 eV/atom